1.
CuSiRh2: PBEsol geometry, meta-GGA SCAN.

a = 8.2067 Å, b = 2.7730 Å, c = 4.6866 Å
α = 90.00°, β = 105.55°, γ = 90.00°
Closest atoms and distances in Å follow each position.
Space group C2/m (No. 12)
Asymmetric unit:
Cu 0.0000 0.0000 0.0000  6 Rh 2.52-2.60, 4 Si 2.72, 2 Cu 2.77
Si 0.0000 0.5000 0.5000  4 Rh 2.39
Rh 0.2328 0.0000 0.7410  2 Si 2.39, 3 Cu 2.52-2.60

Calculated values
Magnetic moment in μB per cell: 0.00
Uncorrected energy in eV per cell: -188.58



2.
BaLaMgNbO6: PBEsol geometry, meta-GGA SCAN.

a = 8.0438 Å, b = 8.0438 Å, c = 8.0438 Å
α = 90.00°, β = 90.00°, γ = 90.00°
Closest atoms and distances in Å follow each position.
Space group F-43m (No. 216)
Asymmetric unit:
Ba 0.0000 0.0000 0.0000  12 O 2.84
La 0.0000 0.0000 0.5000  12 O 2.84
Mg 0.2500 0.2500 0.7500  6 O 2.03
Nb 0.2500 0.2500 0.2500  6 O 1.99
O 0.0026 0.2500 0.2500  1 Nb 1.99, 1 Mg 2.03

Calculated values
Magnetic moment in μB per cell: 0.00
Uncorrected energy in eV per cell: -760.67



3.
ReAs: PBEsol geometry, meta-GGA SCAN.

a = 2.9077 Å, b = 2.9077 Å, c = 9.3412 Å
α = 90.00°, β = 90.00°, γ = 120.00°
Closest atoms and distances in Å follow each position.
Space group P-3m1 (No. 164)
Asymmetric unit:
Re 0.3333 0.6667 0.1119  3 As 2.57, 3 Re 2.68
As 0.3333 0.6667 0.6792  3 Re 2.57

Calculated values
Relative energy among the computed polymorphs in meV per atom: 0
Magnetic moment in μB per cell: 0.00
Energy of formation in eV/atom: 0.05
Uncorrected energy in eV per cell: -182.39



4.
ScMnW2: PBEsol geometry, meta-GGA SCAN.

a = 5.2190 Å, b = 9.0253 Å, c = 2.6666 Å
α = 90.00°, β = 90.00°, γ = 90.00°
Closest atoms and distances in Å follow each position.
Space group Cmmm (No. 65)
Asymmetric unit:
Sc 0.0000 0.0000 0.0000  2 Mn 2.61, 2 Sc 2.67
Mn 0.0000 0.5000 0.0000  2 Sc 2.61, 2 Mn 2.67
W 0.2500 0.2500 0.5000  4 W 2.61-2.67

Calculated values
Relative energy among the computed polymorphs in meV per atom: 0
Magnetic moment in μB per cell: 6.59
Energy of formation in eV/atom: 0.34
Uncorrected energy in eV per cell: -341.06



5.
Li2CuSiO4: PBEsol geometry, meta-GGA SCAN.

a = 10.7516 Å, b = 4.8633 Å, c = 6.2164 Å
α = 90.00°, β = 90.00°, γ = 90.00°
Closest atoms and distances in Å follow each position.
Space group Pna2_1 (No. 33)
Asymmetric unit:
Li 0.0883 0.2048 0.0000  4 O 1.94-1.97
Li 0.1668 0.7043 0.2462  4 O 1.92-1.99
Cu 0.0822 0.2168 0.4990  4 O 1.91-2.05
Si 0.1681 0.6953 0.7454  4 O 1.64-1.65
O 0.0938 0.7977 0.5279  1 Si 1.65
O 0.0952 0.8031 0.9618  1 Si 1.64
O 0.1678 0.3558 0.7460  1 Si 1.65
O 0.1874 0.3065 0.2475  1 Si 1.65

Calculated values
Relative energy among the computed polymorphs in meV per atom: 22
Magnetic moment in μB per cell: 4.00
Uncorrected energy in eV per cell: -290.65



6.
Ti2ReP2: PBEsol geometry, meta-GGA SCAN.

a = 6.2808 Å, b = 6.2808 Å, c = 3.4058 Å
α = 90.00°, β = 90.00°, γ = 90.00°
Closest atoms and distances in Å follow each position.
Space group P4/mbm (No. 127)
Asymmetric unit:
Ti 0.1609 0.3391 0.0000  6 P 2.46-2.54
Re 0.0000 0.0000 0.5000  4 P 2.43
P 0.1385 0.6385 0.5000  2 Re 2.43, 1 P 2.46, 6 Ti 2.46-2.54

Calculated values
Relative energy among the computed polymorphs in meV per atom: 0
Magnetic moment in μB per cell: 0.00
Energy of formation in eV/atom: -0.91
Uncorrected energy in eV per cell: -256.96